# 1
GGA-PBE Pr3Al4Ni2, relaxed; calculated formation energy = -3.91 eV per formula unit; symmetry = No. 12; electronic total energy = -4.98 eV per atom
1.0
-3.1433 -1.6657 2.7321
3.7800 -4.0430 -1.7981
4.1304 2.8667 6.4997
Pr Al Ni
3 4 2
Direct
0.6066 0.2131 0.7003
0.0000 0.0000 0.0000
0.3934 0.7869 0.2997
0.7182 0.4365 0.0908
0.2818 0.5635 0.9092
0.8856 0.7712 0.5870
0.1144 0.2288 0.4130
0.6924 0.3848 0.3777
0.3076 0.6152 0.6223

=====

# 2
GGA-PBE Nb3InH, relaxed; symmetry = No. 64; electronic total energy = -7.26 eV per atom
1.0
-4.0970 -18.0045 -1.8092
5.5942 -1.3475 0.7418
1.0993 6.5177 3.5491
H Nb In
4 12 4
Direct
0.5022 0.7495 0.5065
0.4978 0.2505 0.4934
0.9978 0.2495 0.9934
0.0022 0.7505 0.0066
0.2500 0.8088 0.7501
0.7500 0.1912 0.2499
0.2500 0.3088 0.7499
0.7500 0.6912 0.2501
0.3737 0.4996 0.3740
0.6263 0.5004 0.6260
0.1263 0.9996 0.1260
0.8737 0.0004 0.8740
0.3737 0.9996 0.3741
0.6263 0.0004 0.6259
0.1263 0.4996 0.1259
0.8737 0.5004 0.8741
0.0000 0.2500 0.5000
0.0000 0.7500 0.5000
0.5000 0.7500 0.0000
0.5000 0.2500 0.0000

=====

# 3
GGA-PBE NaInC, relaxed; calculated formation energy = 0.75 eV per formula unit; symmetry = No. 99; electronic total energy = -4.18 eV per atom
1.0
-0.3339 -3.7389 -0.1118
3.5095 -0.3520 1.2897
-3.3289 0.0262 9.0657
Na C In
2 2 2
Direct
0.5000 0.5000 0.6591
0.0000 0.0000 0.3490
0.0000 0.0000 0.6005
0.0000 0.0000 0.7306
0.0000 0.0000 0.9588
0.5000 0.5000 0.1294

=====

# 4
GGA-PBE AcPrSiPb, relaxed; energy relative to the elements, uncorrected = -0.3039 eV/atom; symmetry = No. 216; electronic total energy = -4.81 eV per atom
1.0
5.5647 0.0000 0.0000
2.7823 4.8191 0.0000
2.7823 1.6064 4.5435
Pb Pr Ac Si
1 1 1 1
Direct
0.5000 0.5000 0.5000
0.7500 0.7500 0.7500
0.2500 0.2500 0.2500
0.0000 0.0000 0.0000

=====

# 5
GGA-PBE Y6BiSb3, relaxed; energy relative to the elements, uncorrected = -0.7744 eV/atom; symmetry = No. 36; electronic total energy = -6.28 eV per atom
1.0
-4.6614 -4.1544 4.3891
-2.3059 -5.1694 -7.3420
7.3319 -4.2179 3.7945
Y Bi Sb
12 2 6
Direct
0.1532 0.7209 0.6202
0.6532 0.6202 0.7209
0.2525 0.4729 0.9204
0.7525 0.9204 0.4729
0.2506 0.9991 0.0009
0.6184 0.2479 0.7521
0.1184 0.7521 0.2479
0.7506 0.0009 0.9991
0.2525 0.0796 0.5271
0.7525 0.5271 0.0796
0.1532 0.3798 0.2791
0.6532 0.2791 0.3798
0.9971 0.1747 0.8253
0.4971 0.8253 0.1747
0.4820 0.9164 0.7183
0.9820 0.7183 0.9164
0.3438 0.4156 0.5844
0.8438 0.5844 0.4156
0.9820 0.0836 0.2817
0.4820 0.2817 0.0836

=====

# 6
GGA-PBE Lu2Mg, relaxed; energy above the most stable polymorph in this dataset = 0 meV per atom; calculated formation energy = -0.06 eV per formula unit; symmetry = No. 139; electronic total energy = -3.57 eV per atom
1.0
3.4773 0.0005 -0.0004
0.0005 3.4773 -0.0004
-1.7405 -1.7405 6.8356
Mg Lu
1 2
Direct
0.5000 0.5000 0.0000
0.1636 0.1636 0.3271
0.8364 0.8364 0.6729

=====

# 7
GGA-PBE Co2SbBr, relaxed; energy above the most stable polymorph in this dataset = 496 meV per atom; energy relative to the elements, uncorrected = 0.6111 eV/atom; symmetry = No. 123; electronic total energy = -4.39 eV per atom
1.0
-0.0396 3.0899 0.4331
-4.5981 -0.0785 0.1389
0.1484 -0.6365 4.5542
Br Co Sb
1 2 1
Direct
0.5000 0.0000 0.5000
0.0000 0.0000 0.0000
0.0000 0.5000 0.5000
0.5000 0.5000 0.0000

=====

# 8
GGA-PBE Pm3Cd2Ga, relaxed; energy above the most stable polymorph in this dataset = 12 meV per atom; calculated formation energy = -2.32 eV per formula unit; symmetry = No. 164; electronic total energy = -3.57 eV per atom
1.0
5.3465 0.0000 0.0000
-2.6733 4.6302 0.0000
0.0000 0.0000 6.5487
Pm Cd Ga
3 2 1
Direct
0.0000 0.0000 0.5000
0.6667 0.3333 0.8474
0.3333 0.6667 0.1526
0.6667 0.3333 0.3491
0.3333 0.6667 0.6509
0.0000 0.0000 0.0000

=====

# 9
GGA-PBE FeRuPt2, relaxed; calculated formation energy = 0.58 eV per formula unit; symmetry = No. 216; electronic total energy = -7.31 eV per atom
1.0
-3.5404 1.7755 -1.8518
-2.5609 -2.4216 -2.5872
-3.9913 -1.1680 1.3496
Fe Pt Ru
1 2 1
Direct
0.5000 0.5000 0.5000
0.0000 0.0000 0.0000
0.2500 0.2500 0.2500
0.7500 0.7500 0.7500

=====

# 10
GGA-PBE HfBiBN2, relaxed; energy relative to the elements, uncorrected = 1.5172 eV/atom; symmetry = No. 123; electronic total energy = -5.92 eV per atom
1.0
3.9871 0.0000 0.0000
0.0000 4.5033 0.0000
0.0000 0.0000 3.9871
B Hf Bi N
1 1 1 2
Direct
0.0000 0.0000 0.0000
0.0000 0.5000 0.0000
0.5000 0.5000 0.5000
0.0000 0.0000 0.5000
0.5000 0.0000 0.0000

=====

# 11
GGA-PBE KNa7Sn2, relaxed; calculated formation energy = -0.15 eV per formula unit; symmetry = No. 65; electronic total energy = -1.85 eV per atom
1.0
5.9289 0.0000 0.0000
0.0000 8.4713 1.3959
0.0000 -2.5761 8.1900
K Na Sn
1 7 2
Direct
0.0000 0.0000 0.0000
0.0000 0.6891 0.3109
0.0000 0.3109 0.6891
0.5000 0.1057 0.3767
0.5000 0.8943 0.6233
0.5000 0.3767 0.1057
0.5000 0.6233 0.8943
0.5000 0.5000 0.5000
0.5000 0.7481 0.2519
0.5000 0.2519 0.7481

=====

# 12
GGA-PBE La2AgHg, relaxed; calculated formation energy = 0.16 eV per formula unit; symmetry = No. 107; electronic total energy = -3.21 eV per atom
1.0
6.7247 -4.2134 -5.2043
-4.0754 6.8092 5.2043
-4.8722 2.3228 7.8054
Hg Ag La
1 1 2
Direct
0.0000 0.4513 0.4513
0.0000 0.0226 0.0226
0.0000 0.1892 0.1892
0.0000 0.8367 0.8367

=====

# 13
GGA-PBE La3PmY7, relaxed; energy above the most stable polymorph in this dataset = 59 meV per atom; calculated formation energy = 1.92 eV per formula unit; symmetry = No. 156; electronic total energy = -5.71 eV per atom
1.0
8.8343 0.0000 0.0000
0.0000 7.1655 0.0000
0.0000 -3.5827 6.2055
La Pm Y
3 1 7
Direct
0.7833 0.5001 0.4999
0.7833 0.5001 0.0001
0.7833 0.9999 0.4999
0.4452 0.3333 0.6667
0.1219 0.1672 0.8328
0.1219 0.1672 0.3344
0.1223 0.6667 0.3333
0.4439 0.8327 0.1673
0.4439 0.3345 0.1673
0.4439 0.8327 0.6655
0.1219 0.6656 0.8328

=====

# 14
GGA-PBE CrCd2Sb, relaxed; energy relative to the elements, uncorrected = 0.2743 eV/atom; symmetry = No. 10; electronic total energy = -3.62 eV per atom
1.0
5.6001 0.0000 0.0000
0.0000 3.2787 0.0000
0.0000 -0.1664 4.9112
Cd Cr Sb
2 1 1
Direct
0.0000 0.9992 0.0045
0.0000 0.5008 0.4955
0.5000 0.2500 0.2500
0.5000 0.7500 0.7500